No. 1
This record from Alexandria describes crystalline Tc3SO at its relaxed geometry. The functional is PBE.

Cell and atoms, written as POSCAR:
```
Tc3SO
1.0
4.083 0.000 0.000
0.000 4.083 0.000
0.000 0.000 4.083
S Tc O
1 3 1
direct
0.500 0.500 0.500 S
0.000 0.500 0.000 Tc
0.000 0.000 0.500 Tc
0.500 0.000 0.000 Tc
0.000 0.000 0.000 O
```

Results
**Symmetry**: Pm-3m
**Crystal system**: cubic
**Energy relative to the lowest polymorph listed for this composition**: 0.0000 eV/atom



No. 2
This record from Alexandria describes crystalline TcS2O8 at its relaxed geometry. The functional is PBE.

Cell and atoms, written as POSCAR:
```
TcS2O8
1.0
6.697 0.000 2.956
2.905 6.583 2.483
0.284 0.017 8.421
Tc S O
2 4 16
direct
0.970 0.750 0.250 Tc
0.030 0.250 0.750 Tc
0.858 0.869 0.953 S
0.320 0.369 0.453 S
0.680 0.631 0.547 S
0.142 0.131 0.047 S
0.448 0.716 0.588 O
0.099 0.960 0.192 O
0.733 0.947 0.134 O
0.220 0.214 0.490 O
0.267 0.053 0.866 O
0.924 0.286 0.010 O
0.780 0.786 0.510 O
0.185 0.447 0.634 O
0.076 0.714 0.990 O
0.751 0.784 0.912 O
0.749 0.460 0.692 O
0.251 0.540 0.308 O
0.249 0.216 0.088 O
0.815 0.553 0.366 O
0.552 0.284 0.412 O
0.901 0.040 0.808 O
```

Results
**Symmetry**: C2/c
**Crystal system**: monoclinic
**Energy relative to the lowest polymorph listed for this composition**: 0.0000 eV/atom